Entry 1:
Density functional theory data (PBE-GGA) for CaAgPbCl5 after structural relaxation.

Values from the calculation:
energy = -3.61 eV/atom
ΔE_f (raw) = -1384 meV/atom
V = 30.125 Å³/atom
density = 3.7 g/cm3

Cell: 8.828 12.189 9.854 Å, 90.00 114.61 90.00°
Space group C2/c (No. 15)
One atom of each set of equivalent atoms:
Ca  0.000  0.000  0.000 x4
Ag  0.000  0.320  0.250 x4
Pb  0.000  0.357  0.750 x4
Cl  0.000  0.107  0.750 x4
Cl  0.146  0.191  0.140 x8
Cl  0.169  0.464  0.451 x8

=====

Entry 2:
Density functional theory data (PBE-GGA) for AgIrCl3 after structural relaxation.

Values from the calculation:
energy = -3.34 eV/atom
ΔE_f (raw) = 109 meV/atom
V = 22.452 Å³/atom
density = 6.0 g/cm3

Cell: 4.824 4.824 4.824 Å, 90.00 90.00 90.00°
Space group Pm-3m (No. 221)
One atom of each set of equivalent atoms:
Ag  0.000  0.000  0.000 x1
Ir  0.500  0.500  0.500 x1
Cl  0.000  0.500  0.500 x3

=====

Entry 3:
Density functional theory data (PBE-GGA) for Th6Sb5H after structural relaxation.

Values from the calculation:
energy = -6.36 eV/atom
V = 30.231 Å³/atom
density = 9.2 g/cm3

Cell: 7.651 13.174 7.667 Å, 90.00 110.14 90.00°
Space group C2/m (No. 12)
One atom of each set of equivalent atoms:
Th  0.226  0.154  0.228 x8
Th  0.231  0.000  0.742 x4
Sb  0.000  0.184  0.500 x4
Sb  0.000  0.339  0.000 x4
Sb  0.000  0.500  0.500 x2
H  0.000  0.000  0.000 x2

=====

Entry 4:
Density functional theory data (PBE-GGA) for PaFeB2Rh5 after structural relaxation.

Values from the calculation:
energy = -7.87 eV/atom
ΔE_f = -309 meV per atom
V = 15.617 Å³/atom
density = 9.7 g/cm3

Cell: 4.154 4.154 8.145 Å, 90.00 90.00 90.00°
Space group P4/mmm (No. 123)
One atom of each set of equivalent atoms:
Pa  0.000  0.000  0.000 x1
Fe  0.500  0.500  0.500 x1
B  0.500  0.500  0.262 x2
Rh  0.000  0.500  0.252 x4
Rh  0.500  0.500  0.000 x1

=====

Entry 5:
Density functional theory data (PBE-GGA) for Ac4Te2PtBr after structural relaxation.

Values from the calculation:
energy = -5.16 eV/atom
ΔE_f (raw) = -1354 meV/atom
V = 35.457 Å³/atom
density = 8.4 g/cm3

Cell: 8.081 4.458 8.289 Å, 90.00 108.21 90.00°
Space group P2/m (No. 10)
One atom of each set of equivalent atoms:
Ac  0.216  0.000  0.217 x2
Ac  0.241  0.500  0.762 x2
Te  0.000  0.000  0.500 x1
Te  0.500  0.500  0.500 x1
Pt  0.000  0.500  0.000 x1
Br  0.500  0.000  0.000 x1

=====

Entry 6:
Density functional theory data (PBE-GGA) for LiDy2P3Rh4 after structural relaxation.

Values from the calculation:
energy = -6.74 eV/atom
ΔE_f = -1063 meV per atom
V = 15.838 Å³/atom
density = 8.8 g/cm3

Cell: 4.010 4.010 9.848 Å, 90.00 90.00 90.00°
Space group P-4m2 (No. 115)
One atom of each set of equivalent atoms:
Li  0.000  0.000  0.000 x1
Dy  0.000  0.500  0.753 x2
P  0.000  0.500  0.360 x2
P  0.500  0.500  0.000 x1
Rh  0.000  0.000  0.500 x1
Rh  0.000  0.500  0.130 x2
Rh  0.500  0.500  0.500 x1

=====

Entry 7:
Density functional theory data (PBE-GGA) for Sr3CrN4 after structural relaxation.

Values from the calculation:
energy = -6.87 eV/atom
ΔE_f (raw) = -873 meV/atom
V = 16.030 Å³/atom
density = 4.8 g/cm3

Cell: 7.453 8.951 7.689 Å, 90.00 90.00 90.00°
Space group Pnma (No. 62)
One atom of each set of equivalent atoms:
Sr  0.052  0.045  0.219 x8
Sr  0.151  0.750  0.433 x4
Cr  0.217  0.750  0.988 x4
N  0.000  0.250  0.926 x4
N  0.170  0.086  0.549 x8
N  0.201  0.750  0.757 x4

=====

Entry 8:
Density functional theory data (PBE-GGA) for LiVI2N after structural relaxation.

Values from the calculation:
energy = -3.47 eV/atom
ΔE_f (raw) = 1023 meV/atom
V = 21.939 Å³/atom
density = 4.9 g/cm3

Cell: 5.400 5.400 3.762 Å, 90.00 90.00 90.00°
Space group P4/mmm (No. 123)
One atom of each set of equivalent atoms:
Li  0.000  0.000  0.000 x1
V  0.500  0.500  0.500 x1
I  0.000  0.500  0.000 x2
N  0.000  0.000  0.500 x1

=====

Entry 9:
Density functional theory data (PBE-GGA) for Ce4Ru2N after structural relaxation.

Values from the calculation:
energy = -7.78 eV/atom
ΔE_f (raw) = -550 meV/atom
V = 22.465 Å³/atom
density = 8.2 g/cm3

Cell: 4.773 4.773 13.805 Å, 90.00 90.00 90.00°
Space group I4/mmm (No. 139)
One atom of each set of equivalent atoms:
Ce  0.000  0.000  0.190 x4
Ce  0.000  0.500  0.000 x4
Ru  0.000  0.000  0.357 x4
N  0.000  0.000  0.000 x2

=====

Entry 10:
Density functional theory data (PBE-GGA) for TlIn2AuSe4 after structural relaxation.

Values from the calculation:
energy = -3.46 eV/atom
ΔE_f (raw) = -325 meV/atom
V = 31.973 Å³/atom
density = 6.1 g/cm3

Cell: 6.271 6.271 13.008 Å, 90.00 90.00 90.00°
Space group I-42m (No. 121)
One atom of each set of equivalent atoms:
Tl  0.000  0.000  0.000 x2
In  0.000  0.500  0.250 x4
Au  0.000  0.000  0.500 x2
Se  0.220  0.220  0.363 x8

=====

Entry 11:
Density functional theory data (PBE-GGA) for Tb2NiGe3Rh4 after structural relaxation.

Values from the calculation:
energy = -6.61 eV/atom
ΔE_f = -782 meV per atom
V = 17.580 Å³/atom
density = 9.5 g/cm3

Cell: 4.140 4.140 10.256 Å, 90.00 90.00 90.00°
Space group P-4m2 (No. 115)
One atom of each set of equivalent atoms:
Tb  0.000  0.500  0.244 x2
Ni  0.500  0.500  0.000 x1
Ge  0.000  0.000  0.000 x1
Ge  0.000  0.500  0.632 x2
Rh  0.000  0.000  0.500 x1
Rh  0.000  0.500  0.867 x2
Rh  0.500  0.500  0.500 x1

=====

Entry 12:
Density functional theory data (PBE-GGA) for ZrRuN2F after structural relaxation.

Values from the calculation:
energy = -7.34 eV/atom
ΔE_f (raw) = -66 meV/atom
V = 12.092 Å³/atom
density = 6.6 g/cm3

Cell: 3.933 3.933 3.909 Å, 90.00 90.00 90.00°
Space group P4/mmm (No. 123)
One atom of each set of equivalent atoms:
Zr  0.000  0.000  0.000 x1
Ru  0.500  0.500  0.500 x1
N  0.000  0.500  0.500 x2
F  0.500  0.500  0.000 x1